Density functional theory data (PBE) for crystalline Co2Re2Te at its relaxed geometry.

Structure (CIF):
```
data_Co2Re2Te
_symmetry_space_group_name_H-M 'I 4/m m m'
_symmetry_Int_Tables_number 139
_symmetry_space_group_name_Hall '-I 4 2'
_cell_length_a 3.574
_cell_length_b 3.574
_cell_length_c 12.442
_cell_angle_alpha 90.00
_cell_angle_beta 90.00
_cell_angle_gamma 90.00
loop_
_atom_site_label
_atom_site_type_symbol
_atom_site_fract_x
_atom_site_fract_y
_atom_site_fract_z
Co1 Co 0.000 0.000 0.101
Re1 Re 0.000 0.500 0.250
Te1 Te 0.000 0.000 0.500
```

Values from the calculation:
Its energy relative to the elements, uncorrected is 0.536 eV/atom. The energy is -7.914 eV per atom. The density of states at the Fermi level comes out at 11.96 states/eV per cell. The volume is 159 Å³/cell.

=====

Density functional theory data (PBE) for crystalline FeP2Os at its relaxed geometry.

Structure (CIF):
```
data_FeP2Os
_symmetry_space_group_name_H-M 'C 1 2/m 1'
_symmetry_Int_Tables_number 12
_cell_length_a 7.311
_cell_length_b 2.847
_cell_length_c 4.810
_cell_angle_alpha 90.00
_cell_angle_beta 102.10
_cell_angle_gamma 90.00
loop_
_symmetry_equiv_pos_as_xyz
'x,y,z'
'-x,-y,-z'
'-x,y,-z'
'x,-y,z'
'x+1/2,y+1/2,z'
'-x+1/2,-y+1/2,-z'
'-x+1/2,y+1/2,-z'
'x+1/2,-y+1/2,z'
loop_
_atom_site_label
_atom_site_type_symbol
_atom_site_fract_x
_atom_site_fract_y
_atom_site_fract_z
Fe1 Fe 0.000 0.000 0.000
P1 P 0.249 0.500 0.234
Os1 Os 0.000 0.500 0.500
```

Values from the calculation:
The energy is -7.699 eV per atom. The density of states at the Fermi level comes out at 6.00 states/eV per cell. The volume is 98 Å³/cell. Its formation energy is -0.071 eV per atom.

=====

Density functional theory data (PBE) for crystalline ScTcRu3 at its relaxed geometry.

Structure (CIF):
```
data_ScTcRu3
_symmetry_space_group_name_H-M 'P m -3 m'
_symmetry_Int_Tables_number 221
_symmetry_space_group_name_Hall '-P 4 2 3'
_cell_length_a 4.622
_cell_length_b 4.622
_cell_length_c 4.622
_cell_angle_alpha 90.00
_cell_angle_beta 90.00
_cell_angle_gamma 90.00
loop_
_atom_site_label
_atom_site_type_symbol
_atom_site_fract_x
_atom_site_fract_y
_atom_site_fract_z
Sc1 Sc 0.000 0.000 0.000
Tc1 Tc 0.500 0.500 0.500
Ru1 Ru 0.000 0.500 0.500
```

Values from the calculation:
The energy is -7.949 eV per atom. The density of states at the Fermi level comes out at 4.24 states/eV per cell. The volume is 99 Å³/cell. Its formation energy is 0.956 eV per atom.

=====

Density functional theory data (PBE) for crystalline RbPdBr3 at its relaxed geometry.

Structure (CIF):
```
data_RbPdBr3
_symmetry_space_group_name_H-M 'C 1 2/c 1'
_symmetry_Int_Tables_number 15
_cell_length_a 20.757
_cell_length_b 10.115
_cell_length_c 7.143
_cell_angle_alpha 90.00
_cell_angle_beta 109.56
_cell_angle_gamma 90.00
loop_
_symmetry_equiv_pos_as_xyz
'x,y,z'
'-x,-y,-z'
'-x,y,-z+1/2'
'x,-y,z+1/2'
'x+1/2,y+1/2,z'
'-x+1/2,-y+1/2,-z'
'-x+1/2,y+1/2,-z+1/2'
'x+1/2,-y+1/2,z+1/2'
loop_
_atom_site_label
_atom_site_type_symbol
_atom_site_fract_x
_atom_site_fract_y
_atom_site_fract_z
Rb1 Rb 0.000 0.058 0.250
Rb2 Rb 0.000 0.437 0.750
Pd1 Pd 0.160 0.382 0.531
Br1 Br 0.103 0.298 0.193
Br2 Br 0.105 0.205 0.670
Br3 Br 0.221 0.457 0.885
```

Values from the calculation:
Its energy relative to the elements, uncorrected is -0.795 eV/atom. The energy is -3.031 eV per atom. The density of states at the Fermi level comes out at 0.00 states/eV per cell. The volume is 1413 Å³/cell.

=====

Density functional theory data (PBE) for crystalline MoIr2Br at its relaxed geometry.

Structure (CIF):
```
data_MoIr2Br
_symmetry_space_group_name_H-M 'I m m m'
_symmetry_Int_Tables_number 71
_symmetry_space_group_name_Hall '-I 2 2'
_cell_length_a 2.812
_cell_length_b 4.673
_cell_length_c 10.097
_cell_angle_alpha 90.00
_cell_angle_beta 90.00
_cell_angle_gamma 90.00
loop_
_atom_site_label
_atom_site_type_symbol
_atom_site_fract_x
_atom_site_fract_y
_atom_site_fract_z
Mo1 Mo 0.000 0.000 0.000
Ir1 Ir 0.000 0.500 0.272
Br1 Br 0.000 0.000 0.500
```

Values from the calculation:
Its energy relative to the elements, uncorrected is 0.659 eV/atom. The energy is -6.897 eV per atom. The density of states at the Fermi level comes out at 8.03 states/eV per cell. The volume is 133 Å³/cell.

=====

Density functional theory data (PBE) for crystalline Sm2AgHg4 at its relaxed geometry.

Structure (CIF):
```
data_Sm2AgHg4
_symmetry_space_group_name_H-M 'R -3 m'
_symmetry_Int_Tables_number 166
_symmetry_space_group_name_Hall '-R 3 2"'
_cell_length_a 5.1150
_cell_length_b 5.1150
_cell_length_c 24.4559
_cell_angle_alpha 90.00
_cell_angle_beta 90.00
_cell_angle_gamma 120.00
loop_
_atom_site_label
_atom_site_type_symbol
_atom_site_fract_x
_atom_site_fract_y
_atom_site_fract_z
Sm1 Sm 0.0000 0.0000 0.2462
Ag1 Ag 0.0000 0.0000 0.5000
Hg1 Hg 0.0000 0.0000 0.1194
Hg2 Hg 0.0000 0.0000 0.3732
```

Values from the calculation:
The energy is -2.205 eV per atom. The density of states at the Fermi level comes out at 12.83 states/eV per cell. The volume is 554 Å³/cell. Its formation energy is -0.277 eV per atom.

=====

Density functional theory data (PBE) for crystalline Sc2CoBr at its relaxed geometry.

Structure (CIF):
```
data_Sc2CoBr
_symmetry_space_group_name_H-M 'P 4 m m'
_symmetry_Int_Tables_number 99
_cell_length_a 3.590
_cell_length_b 3.590
_cell_length_c 6.754
_cell_angle_alpha 90.00
_cell_angle_beta 90.00
_cell_angle_gamma 90.00
loop_
_symmetry_equiv_pos_as_xyz
'x,y,z'
'-y,x,z'
'-x,-y,z'
'y,-x,z'
'-x,y,z'
'y,x,z'
'x,-y,z'
'-y,-x,z'
loop_
_atom_site_label
_atom_site_type_symbol
_atom_site_fract_x
_atom_site_fract_y
_atom_site_fract_z
Sc1 Sc 0.000 0.000 0.000
Sc2 Sc 0.500 0.500 0.366
Co1 Co 0.500 0.500 0.032
Br1 Br 0.000 0.000 0.576
```

Values from the calculation:
Its energy relative to the elements, uncorrected is -0.370 eV/atom. The energy is -5.730 eV per atom. The density of states at the Fermi level comes out at 3.97 states/eV per cell. The volume is 87 Å³/cell.

=====

Density functional theory data (PBE) for crystalline Na2LaF at its relaxed geometry.

Structure (CIF):
```
data_Na2LaF
_symmetry_space_group_name_H-M 'F m -3 m'
_symmetry_Int_Tables_number 225
_symmetry_space_group_name_Hall '-F 4 2 3'
_cell_length_a 7.799
_cell_length_b 7.799
_cell_length_c 7.799
_cell_angle_alpha 90.00
_cell_angle_beta 90.00
_cell_angle_gamma 90.00
loop_
_atom_site_label
_atom_site_type_symbol
_atom_site_fract_x
_atom_site_fract_y
_atom_site_fract_z
Na1 Na 0.250 0.250 0.250
La1 La 0.000 0.000 0.000
F1 F 0.000 0.000 0.500
```

Values from the calculation:
Its energy relative to the elements, uncorrected is -0.152 eV/atom. The energy is -2.511 eV per atom. The density of states at the Fermi level comes out at 0.99 states/eV per cell. The volume is 474 Å³/cell.

=====

Density functional theory data (PBE) for crystalline Cs2HfCdSe4 at its relaxed geometry.

Structure (CIF):
```
data_Cs2HfCdSe4
_symmetry_space_group_name_H-M 'F d d d'
_symmetry_Int_Tables_number 70
_cell_length_a 6.414
_cell_length_b 15.091
_cell_length_c 26.179
_cell_angle_alpha 90.00
_cell_angle_beta 90.00
_cell_angle_gamma 90.00
loop_
_symmetry_equiv_pos_as_xyz
'x,y,z'
'-x,-y,-z'
'-x+1/4,-y+1/4,z'
'x+1/4,y+1/4,-z'
'x,-y+1/4,-z+1/4'
'-x,y+1/4,z+1/4'
'-x+1/4,y,-z+1/4'
'x+1/4,-y,z+1/4'
'x,y+1/2,z+1/2'
'-x,-y+1/2,-z+1/2'
'-x+1/4,-y+3/4,z+1/2'
'x+1/4,y+3/4,-z+1/2'
'x,-y+3/4,-z+3/4'
'-x,y+3/4,z+3/4'
'-x+1/4,y+1/2,-z+3/4'
'x+1/4,-y+1/2,z+3/4'
'x+1/2,y,z+1/2'
'-x+1/2,-y,-z+1/2'
'-x+3/4,-y+1/4,z+1/2'
'x+3/4,y+1/4,-z+1/2'
'x+1/2,-y+1/4,-z+3/4'
'-x+1/2,y+1/4,z+3/4'
'-x+3/4,y,-z+3/4'
'x+3/4,-y,z+3/4'
'x+1/2,y+1/2,z'
'-x+1/2,-y+1/2,-z'
'-x+3/4,-y+3/4,z'
'x+3/4,y+3/4,-z'
'x+1/2,-y+3/4,-z+1/4'
'-x+1/2,y+3/4,z+1/4'
'-x+3/4,y+1/2,-z+1/4'
'x+3/4,-y+1/2,z+1/4'
loop_
_atom_site_label
_atom_site_type_symbol
_atom_site_fract_x
_atom_site_fract_y
_atom_site_fract_z
Cs1 Cs 0.125 0.125 0.304
Hf1 Hf 0.125 0.125 0.125
Cd1 Cd 0.125 0.125 0.625
Se1 Se 0.104 0.277 0.430
```

Values from the calculation:
Its energy relative to the elements, uncorrected is -1.198 eV/atom. The energy is -4.512 eV per atom. The density of states at the Fermi level comes out at 0.00 states/eV per cell. The volume is 2534 Å³/cell.

=====

Density functional theory data (PBE) for crystalline CuAgSnCl5 at its relaxed geometry.

Structure (CIF):
```
data_CuAgSnCl5
_symmetry_space_group_name_H-M 'C 1 2/c 1'
_symmetry_Int_Tables_number 15
_cell_length_a 8.102
_cell_length_b 12.750
_cell_length_c 9.103
_cell_angle_alpha 90.00
_cell_angle_beta 115.24
_cell_angle_gamma 90.00
loop_
_symmetry_equiv_pos_as_xyz
'x,y,z'
'-x,-y,-z'
'-x,y,-z+1/2'
'x,-y,z+1/2'
'x+1/2,y+1/2,z'
'-x+1/2,-y+1/2,-z'
'-x+1/2,y+1/2,-z+1/2'
'x+1/2,-y+1/2,z+1/2'
loop_
_atom_site_label
_atom_site_type_symbol
_atom_site_fract_x
_atom_site_fract_y
_atom_site_fract_z
Cu1 Cu 0.000 0.150 0.250
Ag1 Ag 0.000 0.500 0.000
Sn1 Sn 0.000 0.201 0.750
Cl1 Cl 0.000 0.407 0.750
Cl2 Cl 0.098 0.263 0.100
Cl3 Cl 0.172 0.033 0.438
```

Values from the calculation:
Its energy relative to the elements, uncorrected is -0.623 eV/atom. The energy is -3.146 eV per atom. The density of states at the Fermi level comes out at 15.05 states/eV per cell. The volume is 851 Å³/cell.

=====

Density functional theory data (PBE) for crystalline H3AuN at its relaxed geometry.

Structure (CIF):
```
data_H3AuN
_symmetry_space_group_name_H-M 'P m -3 m'
_symmetry_Int_Tables_number 221
_symmetry_space_group_name_Hall '-P 4 2 3'
_cell_length_a 3.295
_cell_length_b 3.295
_cell_length_c 3.295
_cell_angle_alpha 90.00
_cell_angle_beta 90.00
_cell_angle_gamma 90.00
loop_
_atom_site_label
_atom_site_type_symbol
_atom_site_fract_x
_atom_site_fract_y
_atom_site_fract_z
H1 H 0.000 0.000 0.500
Au1 Au 0.500 0.500 0.500
N1 N 0.000 0.000 0.000
```

Values from the calculation:
The energy is -3.048 eV per atom. The density of states at the Fermi level comes out at 1.99 states/eV per cell. The volume is 36 Å³/cell.

=====

Density functional theory data (PBE) for crystalline Ti6SiPb2 at its relaxed geometry.

Structure (CIF):
```
data_Ti6SiPb2
_symmetry_space_group_name_H-M 'P -6 2 m'
_symmetry_Int_Tables_number 189
_symmetry_space_group_name_Hall 'P -6 -2'
_cell_length_a 7.2620
_cell_length_b 7.2620
_cell_length_c 3.6719
_cell_angle_alpha 90.00
_cell_angle_beta 90.00
_cell_angle_gamma 120.00
loop_
_atom_site_label
_atom_site_type_symbol
_atom_site_fract_x
_atom_site_fract_y
_atom_site_fract_z
Ti1 Ti 0.0000 0.2330 0.0000
Ti2 Ti 0.0000 0.6296 0.5000
Si1 Si 0.0000 0.0000 0.5000
Pb1 Pb 0.3333 0.6667 0.0000
```

Values from the calculation:
Its energy relative to the elements, uncorrected is -0.297 eV/atom. The energy is -6.987 eV per atom. The density of states at the Fermi level comes out at 4.62 states/eV per cell. The volume is 168 Å³/cell.

=====

Which of these has the highest energy? Sm2AgHg4

=====

Which of these has the highest energy? Sm2AgHg4